[1]
DFT (PBE) results for an optimized crystal structure of Sc2Ta2Re.

Computed properties:
The value obtained for the formation energy is 0.88 eV/atom.

a b c (Å): 7.629 7.629 7.629
angles (deg): 151.71 151.71 40.44
Fractional coordinates of all 5 atoms:
Sc  0.250  0.750  0.500
Sc  0.750  0.250  0.500
Ta  0.084  0.084  0.000
Ta  0.916  0.916  0.000
Re  0.500  0.500  0.000

=====

[2]
DFT (PBE) results for an optimized crystal structure of Sc4TeOs.

Computed properties:
As for the formation energy (no corrections): 8.4 kcal/mol of atoms.

a b c (Å): 5.605 5.605 5.605
angles (deg): 60.00 60.00 60.00
Fractional coordinates of all 6 atoms:
Sc  0.377  0.377  0.377
Sc  0.377  0.377  0.869
Sc  0.377  0.869  0.377
Sc  0.869  0.377  0.377
Te  0.000  0.000  0.000
Os  0.750  0.750  0.750

=====

[3]
DFT (PBE) results for an optimized crystal structure of Pm5Sm12Ho2.

Computed properties:
The value obtained for the formation energy is 0.17 eV/atom.

a b c (Å): 9.965 9.965 10.490
angles (deg): 109.87 109.87 42.13
Fractional coordinates of all 19 atoms:
Pm  0.000  0.000  0.000
Pm  0.186  0.186  0.685
Pm  0.324  0.324  0.291
Pm  0.676  0.676  0.709
Pm  0.814  0.814  0.315
Sm  0.024  0.024  0.743
Sm  0.086  0.583  0.979
Sm  0.088  0.592  0.632
Sm  0.408  0.912  0.368
Sm  0.417  0.914  0.021
Sm  0.499  0.499  0.179
Sm  0.501  0.501  0.821
Sm  0.583  0.086  0.979
Sm  0.592  0.088  0.632
Sm  0.912  0.408  0.368
Sm  0.914  0.417  0.021
Sm  0.976  0.976  0.257
Ho  0.277  0.723  0.500
Ho  0.723  0.277  0.500

=====

| no. | E above lowest polymorph (meV/atom) |
| --- | --- |
| 1 | 693 |
| 2 | 1007 |
| 3 | 36 |